# 1
# BeVNi6 (PBE, optimized geometry)
data_BeVNi6
_cell_length_a 3.474
_cell_length_b 4.954
_cell_length_c 4.954
_cell_angle_alpha 89.98
_cell_angle_beta 90.00
_cell_angle_gamma 90.00
_space_group_name_H-M_alt 'P 1'
_space_group_IT_number 1
loop_
_space_group_symop_operation_xyz
'x,y,z'
loop_
_atom_site_label
_atom_site_fract_x
_atom_site_fract_y
_atom_site_fract_z
Ni1 0.000 0.747 0.253
Ni2 0.000 0.253 0.253
Ni3 0.000 0.747 0.747
Ni4 0.500 0.500 0.000
Ni5 0.500 0.000 0.500
Ni6 0.000 0.253 0.747
V1 0.500 0.000 0.000
Be1 0.500 0.500 0.500
# Energy above the most stable polymorph in this dataset = 0 meV/atom
# DOS(E_F) = 9.7 states/eV/f.u.
# Size of the total moment = 0.000 μB per atom
# Formation energy from the elements = -0.2318 eV per atom


# 2
# Be4VNi (PBE, optimized geometry)
data_Be4VNi
_cell_length_a 4.291
_cell_length_b 4.291
_cell_length_c 4.291
_cell_angle_alpha 60.00
_cell_angle_beta 60.00
_cell_angle_gamma 60.00
_space_group_name_H-M_alt 'P 1'
_space_group_IT_number 1
loop_
_space_group_symop_operation_xyz
'x,y,z'
loop_
_atom_site_label
_atom_site_fract_x
_atom_site_fract_y
_atom_site_fract_z
Be1 0.125 0.625 0.625
Be2 0.625 0.625 0.625
Be3 0.625 0.125 0.625
Be4 0.625 0.625 0.125
V1 0.250 0.250 0.250
Ni1 0.000 0.000 0.000
# DOS(E_F) = 3.1 states/eV/f.u.
# Size of the total moment = 0.468 μB per atom
# Formation energy from the elements = -0.1874 eV per atom


# 3
# Be8VNi3 (PBE, optimized geometry)
data_Be8VNi3
_cell_length_a 4.209
_cell_length_b 4.209
_cell_length_c 6.883
_cell_angle_alpha 90.00
_cell_angle_beta 90.00
_cell_angle_gamma 120.00
_space_group_name_H-M_alt 'P 1'
_space_group_IT_number 1
loop_
_space_group_symop_operation_xyz
'x,y,z'
loop_
_atom_site_label
_atom_site_fract_x
_atom_site_fract_y
_atom_site_fract_z
Be1 0.333 0.667 0.498
Be2 0.502 0.005 0.758
Be3 0.502 0.498 0.758
Be4 0.995 0.498 0.758
Be5 0.163 0.837 0.243
Be6 0.333 0.667 0.004
Be7 0.163 0.326 0.243
Be8 0.674 0.837 0.243
V1 0.000 0.000 0.559
Ni1 0.000 0.000 0.926
Ni2 0.667 0.333 0.062
Ni3 0.667 0.333 0.451
# DOS(E_F) = 6.6 states/eV/f.u.
# Size of the total moment = 0.089 μB per atom
# Formation energy from the elements = -0.2723 eV per atom


# 4
# BeV2Ni9 (PBE, optimized geometry)
data_BeV2Ni9
_cell_length_a 3.528
_cell_length_b 3.528
_cell_length_c 10.465
_cell_angle_alpha 90.00
_cell_angle_beta 90.00
_cell_angle_gamma 90.00
_space_group_name_H-M_alt 'P 1'
_space_group_IT_number 1
loop_
_space_group_symop_operation_xyz
'x,y,z'
loop_
_atom_site_label
_atom_site_fract_x
_atom_site_fract_y
_atom_site_fract_z
Ni1 0.500 0.000 0.500
Ni2 0.000 0.500 0.500
Ni3 0.500 0.500 0.669
Ni4 0.500 0.000 0.162
Ni5 0.000 0.500 0.838
Ni6 0.500 0.500 0.331
Ni7 0.000 0.500 0.162
Ni8 0.500 0.000 0.838
Ni9 0.500 0.500 0.000
V1 0.000 0.000 0.323
V2 0.000 0.000 0.677
Be1 0.000 0.000 0.000
# DOS(E_F) = 3.7 states/eV/f.u.
# Size of the total moment = 0.000 μB per atom
# Formation energy from the elements = -0.2318 eV per atom


# 5
# Be4VNi5 (PBE, optimized geometry)
data_Be4VNi5
_cell_length_a 2.583
_cell_length_b 2.583
_cell_length_c 14.212
_cell_angle_alpha 90.00
_cell_angle_beta 90.00
_cell_angle_gamma 90.00
_space_group_name_H-M_alt 'P 1'
_space_group_IT_number 1
loop_
_space_group_symop_operation_xyz
'x,y,z'
loop_
_atom_site_label
_atom_site_fract_x
_atom_site_fract_y
_atom_site_fract_z
Be1 0.000 0.000 0.592
Be2 0.000 0.000 0.408
Be3 0.000 0.000 0.779
Be4 0.000 0.000 0.221
Ni1 0.500 0.500 0.129
Ni2 0.500 0.500 0.500
Ni3 0.500 0.500 0.871
Ni4 0.500 0.500 0.315
Ni5 0.500 0.500 0.685
V1 0.000 0.000 0.000
# DOS(E_F) = 4.0 states/eV/f.u.
# Size of the total moment = 0.000 μB per atom
# Formation energy from the elements = -0.4281 eV per atom


# 6
# BeVNi2 (PBE, optimized geometry)
data_BeVNi2
_cell_length_a 3.442
_cell_length_b 3.442
_cell_length_c 8.185
_cell_angle_alpha 77.86
_cell_angle_beta 77.86
_cell_angle_gamma 90.00
_space_group_name_H-M_alt 'P 1'
_space_group_IT_number 1
loop_
_space_group_symop_operation_xyz
'x,y,z'
loop_
_atom_site_label
_atom_site_fract_x
_atom_site_fract_y
_atom_site_fract_z
Ni1 0.605 0.125 0.250
Ni2 0.875 0.855 0.750
Ni3 0.145 0.625 0.250
Ni4 0.375 0.395 0.750
V1 0.000 0.000 0.000
V2 0.750 0.250 0.500
Be1 0.250 0.750 0.500
Be2 0.500 0.500 0.000
# DOS(E_F) = 3.6 states/eV/f.u.
# Size of the total moment = 0.000 μB per atom
# Formation energy from the elements = 0.2018 eV per atom


# 7
# BeNiW2 (PBE, optimized geometry)
data_BeNiW2
_cell_length_a 8.691
_cell_length_b 8.691
_cell_length_c 8.691
_cell_angle_alpha 17.95
_cell_angle_beta 17.95
_cell_angle_gamma 17.95
_space_group_name_H-M_alt 'P 1'
_space_group_IT_number 1
loop_
_space_group_symop_operation_xyz
'x,y,z'
loop_
_atom_site_label
_atom_site_fract_x
_atom_site_fract_y
_atom_site_fract_z
W1 0.501 0.501 0.501
W2 0.999 0.999 0.999
Ni1 0.750 0.750 0.750
Be1 0.250 0.250 0.250
# DOS(E_F) = 4.8 states/eV/f.u.
# Size of the total moment = 0.000 μB per atom
# Formation energy from the elements = 0.3307 eV per atom


# 8
# BeNiW2 (PBE, optimized geometry)
data_BeNiW2
_cell_length_a 2.687
_cell_length_b 2.687
_cell_length_c 7.134
_cell_angle_alpha 90.00
_cell_angle_beta 90.00
_cell_angle_gamma 90.15
_space_group_name_H-M_alt 'P 1'
_space_group_IT_number 1
loop_
_space_group_symop_operation_xyz
'x,y,z'
loop_
_atom_site_label
_atom_site_fract_x
_atom_site_fract_y
_atom_site_fract_z
W1 0.000 0.000 0.486
W2 0.000 0.000 0.014
Be1 0.500 0.500 0.250
Ni1 0.500 0.500 0.750
# DOS(E_F) = 2.5 states/eV/f.u.
# Size of the total moment = 0.000 μB per atom
# Formation energy from the elements = 0.0826 eV per atom


# 9
# BeNiW2 (PBE, optimized geometry)
data_BeNiW2
_cell_length_a 8.430
_cell_length_b 8.430
_cell_length_c 8.430
_cell_angle_alpha 18.75
_cell_angle_beta 18.75
_cell_angle_gamma 18.75
_space_group_name_H-M_alt 'P 1'
_space_group_IT_number 1
loop_
_space_group_symop_operation_xyz
'x,y,z'
loop_
_atom_site_label
_atom_site_fract_x
_atom_site_fract_y
_atom_site_fract_z
Ni1 0.759 0.759 0.759
Be1 0.492 0.492 0.492
W1 0.007 0.007 0.007
W2 0.242 0.242 0.242
# DOS(E_F) = 4.6 states/eV/f.u.
# Size of the total moment = 0.000 μB per atom
# Formation energy from the elements = 0.2857 eV per atom


# 10
# BeNiW2 (PBE, optimized geometry)
data_BeNiW2
_cell_length_a 5.191
_cell_length_b 5.191
_cell_length_c 6.332
_cell_angle_alpha 65.80
_cell_angle_beta 65.80
_cell_angle_gamma 90.00
_space_group_name_H-M_alt 'P 1'
_space_group_IT_number 1
loop_
_space_group_symop_operation_xyz
'x,y,z'
loop_
_atom_site_label
_atom_site_fract_x
_atom_site_fract_y
_atom_site_fract_z
Be1 0.250 0.750 0.500
Be2 0.500 0.500 0.000
W1 0.875 0.849 0.750
W2 0.151 0.625 0.250
W3 0.375 0.401 0.750
W4 0.599 0.125 0.250
Ni1 0.750 0.250 0.500
Ni2 0.000 0.000 0.000
# DOS(E_F) = 3.7 states/eV/f.u.
# Size of the total moment = 0.000 μB per atom
# Formation energy from the elements = 1.8359 eV per atom


# 11
# BeNiW2 (PBE, optimized geometry)
data_BeNiW2
_cell_length_a 4.796
_cell_length_b 4.796
_cell_length_c 4.796
_cell_angle_alpha 135.89
_cell_angle_beta 135.89
_cell_angle_gamma 64.15
_space_group_name_H-M_alt 'P 1'
_space_group_IT_number 1
loop_
_space_group_symop_operation_xyz
'x,y,z'
loop_
_atom_site_label
_atom_site_fract_x
_atom_site_fract_y
_atom_site_fract_z
Ni1 0.750 0.250 0.500
W1 0.250 0.750 0.500
W2 0.000 0.000 0.000
Be1 0.500 0.500 0.000
# DOS(E_F) = 3.2 states/eV/f.u.
# Size of the total moment = 0.000 μB per atom
# Formation energy from the elements = 0.1721 eV per atom


# 12
# BeNiW2 (PBE, optimized geometry)
data_BeNiW2
_cell_length_a 4.709
_cell_length_b 4.709
_cell_length_c 3.966
_cell_angle_alpha 65.10
_cell_angle_beta 65.10
_cell_angle_gamma 42.25
_space_group_name_H-M_alt 'P 1'
_space_group_IT_number 1
loop_
_space_group_symop_operation_xyz
'x,y,z'
loop_
_atom_site_label
_atom_site_fract_x
_atom_site_fract_y
_atom_site_fract_z
W1 0.496 0.496 0.504
W2 0.004 0.004 0.996
Ni1 0.250 0.250 0.250
Be1 0.750 0.750 0.750
# DOS(E_F) = 3.4 states/eV/f.u.
# Size of the total moment = 0.000 μB per atom
# Formation energy from the elements = 0.1303 eV per atom